A geometry-optimized MgAlCr3FeO8 structure. Source: Alexandria via LeMat-Bulk, functional PBE+U.

Unit cell a=5.940 b=5.940 c=5.940 alpha=60.61 beta=60.61 gamma=60.61
Atoms (fractional coordinates):
Mg: 0.000 0.000 0.000
Al: 0.375 0.375 0.375
Cr: 0.375 0.375 0.876
Cr: 0.375 0.876 0.375
Cr: 0.876 0.375 0.375
Fe: 0.752 0.752 0.752
O: 0.137 0.137 0.137
O: 0.144 0.144 0.589
O: 0.144 0.589 0.144
O: 0.166 0.606 0.606
O: 0.589 0.144 0.144
O: 0.606 0.166 0.606
O: 0.606 0.606 0.166
O: 0.613 0.613 0.613

## Properties
The calculation puts the magnetic moment at 13.000 μB/cell. The total energy comes out at -7.39 eV per atom. The space group is R3m, No. 160.